1.
# Ho3Pu2ScTe6

Crystalline Ho3Pu2ScTe6 at its relaxed geometry (PBE, Alexandria).

Uncorrected formation energy (eV per atom): -1.1876

abc: 18.9419 4.3220 8.7191
angles: 90.00 103.74 90.00
Space group C2/m (No. 12)
Symmetry-distinct sites (fractional):
Ho: 0.0000 0.0000 0.0000
Ho: 0.1713 0.5000 0.3353
Pu: 0.1649 0.5000 0.8311
Sc: 0.0000 0.0000 0.5000
Te: 0.0042 0.5000 0.2597
Te: 0.1615 0.0000 0.5754
Te: 0.1657 0.0000 0.0861


2.
# CsTlHg8Au2

Crystalline CsTlHg8Au2 at its relaxed geometry (PBE, Alexandria).

Calculated formation energy (eV per atom): -0.0319

abc: 10.0523 6.5113 11.5972
angles: 90.00 106.73 90.00
Space group C2/m (No. 12)
Symmetry-distinct sites (fractional):
Cs: 0.0000 0.0000 0.0000
Tl: 0.0000 0.0000 0.5000
Hg: 0.1579 0.5000 0.0014
Hg: 0.1652 0.5000 0.4959
Hg: 0.1679 0.2545 0.7452
Au: 0.0771 0.5000 0.2334


3.
# Pm2Nd3Dy6

Crystalline Pm2Nd3Dy6 at its relaxed geometry (PBE, Alexandria).

Relative energy among the computed polymorphs (meV/atom): 0.0
Calculated formation energy (eV per atom): 0.1887

abc: 6.1927 10.7538 11.7084
angles: 90.00 100.29 90.00
Space group C2/m (No. 12)
Symmetry-distinct sites (fractional):
Pm: 0.0000 0.1664 0.0000
Nd: 0.0000 0.0000 0.5000
Nd: 0.0000 0.3358 0.5000
Dy: 0.2494 0.3335 0.2484
Dy: 0.2498 0.0000 0.2488


no.,size of the total moment (μB/f.u.)
1,12.16
2,0.00
3,0.00